Computed, not measured: an optimized crystal structure of Cs2AgPdBr5 at the PBE-GGA level of DFT.

Lattice parameters (Å, degrees): 7.778 7.778 5.197 90.00 90.00 90.00
Positions (direct):
1 Br 0.726 0.274 0.000
2 Br 0.000 0.000 0.500
3 Br 0.726 0.726 0.000
4 Br 0.274 0.274 0.000
5 Br 0.274 0.726 0.000
6 Cs 0.000 0.500 0.500
7 Cs 0.500 0.000 0.500
8 Ag 0.000 0.000 0.000
9 Pd 0.500 0.500 0.000

Values from the calculation:
total energy: -27.10 eV per cell
density: 4.65 Mg/m³
space-group type: No. 123